1.
Below is a relaxed Rb3Tl4Pb2 crystal, with properties calculated at the PBE-GGA level.

Lattice parameters (Å, degrees): 5.385 7.505 10.628 68.48 75.56 68.97
Sites, in units of the cell vectors:
1 Tl 0.312 0.330 0.047
2 Rb 0.617 0.129 0.634
3 Pb 0.287 0.669 0.753
4 Rb 0.000 0.000 0.000
5 Tl 0.688 0.670 0.953
6 Tl 0.082 0.503 0.338
7 Rb 0.383 0.871 0.366
8 Tl 0.918 0.497 0.662
9 Pb 0.713 0.331 0.247

## Properties
ρ	6.69	Mg/m³
energy above the most stable polymorph in this dataset	0.000	eV per atom
formation energy from the elements	-0.09	eV per atom
magnetization	0.000	μB/f.u.

2.
Below is a relaxed Li2YZnMo crystal, with properties calculated at the PBE-GGA level.

Lattice parameters (Å, degrees): 5.087 4.862 5.087 90.00 90.00 90.00
Each line ends with the local moment (μB).
Sites, in units of the cell vectors:
1 Li 0.500 0.000 0.000  -0.01
2 Li 0.000 0.000 0.500  -0.01
3 Mo 0.000 0.500 0.000  0.71
4 Y 0.000 0.000 0.000  0.06
5 Zn 0.500 0.500 0.500  -0.01

## Properties
ρ	3.49	Mg/m³
formation energy from the elements	1.45	eV per atom
magnetization	0.719	μB/f.u.

3.
Below is a relaxed BaNaPO4 crystal, with properties calculated at the PBE-GGA level.

Lattice parameters (Å, degrees): 5.679 5.679 7.374 90.00 90.00 120.00
Sites, in units of the cell vectors:
1 O 0.038 0.519 0.799
2 Na 0.000 0.000 0.800
3 O 0.851 0.149 0.210
4 Na 0.667 0.333 0.995
5 P 0.000 0.000 0.286
6 O 0.481 0.519 0.799
7 O 0.333 0.667 0.512
8 O 0.851 0.702 0.210
9 Ba 0.667 0.333 0.511
10 O 0.000 0.000 0.494
11 O 0.481 0.962 0.799
12 Ba 0.333 0.667 0.155
13 O 0.298 0.149 0.210
14 P 0.333 0.667 0.721

## Properties
ρ	4.12	Mg/m³
energy above the most stable polymorph in this dataset	0.000	eV per atom
magnetization	0.000	μB/f.u.

What is the ρ in the second record? 3.49 Mg/m³

Repeat the first record exactly.
Below is a relaxed Rb3Tl4Pb2 crystal, with properties calculated at the PBE-GGA level.

Lattice parameters (Å, degrees): 5.385 7.505 10.628 68.48 75.56 68.97
Sites, in units of the cell vectors:
1 Tl 0.312 0.330 0.047
2 Rb 0.617 0.129 0.634
3 Pb 0.287 0.669 0.753
4 Rb 0.000 0.000 0.000
5 Tl 0.688 0.670 0.953
6 Tl 0.082 0.503 0.338
7 Rb 0.383 0.871 0.366
8 Tl 0.918 0.497 0.662
9 Pb 0.713 0.331 0.247

## Properties
ρ	6.69	Mg/m³
energy above the most stable polymorph in this dataset	0.000	eV per atom
formation energy from the elements	-0.09	eV per atom
magnetization	0.000	μB/f.u.

Among the records above, which one has the highest ρ? Rb3Tl4Pb2

The highest ρ belongs to which entry? Rb3Tl4Pb2